A plane-wave DFT calculation with GGA-PBE was carried out for PmTaNi after structural relaxation.

Lattice parameters (Å, degrees): 6.3789 6.3789 6.3789 90.00 90.00 90.00
Space group F-43m (No. 216)
Symmetry-distinct sites (fractional):
Pm (0.0000, 0.0000, 0.0000) x4
Ta (0.0000, 0.0000, 0.5000) x4
Ni (0.2500, 0.2500, 0.2500) x4

Results
Total DFT energy (no corrections) = -6.879 eV/atom
M_tot = 2.0 μB per cell
Formation energy from the elements = 0.509 eV/atom



A plane-wave DFT calculation with GGA-PBE was carried out for PmTcNi after structural relaxation.

Lattice parameters (Å, degrees): 6.2741 6.2741 6.2741 90.00 90.00 90.00
Space group F-43m (No. 216)
Symmetry-distinct sites (fractional):
Pm (0.0000, 0.0000, 0.0000) x4
Tc (0.0000, 0.0000, 0.5000) x4
Ni (0.2500, 0.2500, 0.2500) x4

Results
Energy relative to the lowest polymorph listed for this composition = 0.0000 eV/atom
Total DFT energy (no corrections) = -6.422 eV/atom
M_tot = 8.8 μB per cell
Formation energy from the elements = 0.469 eV/atom



A plane-wave DFT calculation with GGA-PBE was carried out for PmTcNi after structural relaxation.

Lattice parameters (Å, degrees): 6.3442 6.3442 6.3442 90.00 90.00 90.00
Space group F-43m (No. 216)
Symmetry-distinct sites (fractional):
Pm (0.0000, 0.0000, 0.0000) x4
Tc (0.2500, 0.2500, 0.2500) x4
Ni (0.2500, 0.2500, 0.7500) x4

Results
Energy relative to the lowest polymorph listed for this composition = 0.6670 eV/atom
Total DFT energy (no corrections) = -5.755 eV/atom
M_tot = 8.1 μB per cell
Formation energy from the elements = 1.136 eV/atom



A plane-wave DFT calculation with GGA-PBE was carried out for PmNiTe after structural relaxation.

Lattice parameters (Å, degrees): 6.8224 6.8224 6.8224 90.00 90.00 90.00
Space group F-43m (No. 216)
Symmetry-distinct sites (fractional):
Pm (0.0000, 0.0000, 0.0000) x4
Ni (0.0000, 0.0000, 0.5000) x4
Te (0.2500, 0.2500, 0.7500) x4

Results
Total DFT energy (no corrections) = -4.685 eV/atom
M_tot = 2.2 μB per cell



> M_tot of number 2 (PmTcNi)?

8.8 μB per cell